A crystal of CdAg2Pt relaxed with PBEsol. Source: Alexandria via LeMat-Bulk, functional meta-GGA SCAN.

Values from the calculation:
**Total moment**: 0.0 Bohr magnetons per cell
**ΔH_f (0 K)**: -0.112 eV per atom
**Calculated density**: 13.0 g cm⁻³
**Crystal system**: cubic
**D(E_F)**: 1.045 states/eV/f.u.

The structure in CIF format:
```
data_CdAg2Pt
_cell_length_a 6.4409
_cell_length_b 6.4409
_cell_length_c 6.4409
_cell_angle_alpha 90.00
_cell_angle_beta 90.00
_cell_angle_gamma 90.00
_symmetry_space_group_name_H-M 'F -4 3 m'
_symmetry_Int_Tables_number 216
_symmetry_space_group_name_Hall 'F -4 2 3'
loop_
_atom_site_label
_atom_site_fract_x
_atom_site_fract_y
_atom_site_fract_z
Cd1 0.0000 0.0000 0.0000
Ag1 0.0000 0.0000 0.5000
Ag2 0.2500 0.2500 0.2500
Pt1 0.2500 0.2500 0.7500
```